Record 1
Entry from the Alexandria database: a relaxed K2Y2TiO6 crystal (PBE-GGA).

Formation energy without anion corrections = -2830 meV per atom
ρ = 3.662 g/cm3
Raw total energy = -83.9 eV per cell

Structure (CIF):
```
data_K2Y2TiO6
_chemical_formula_sum 'K2 Y2 Ti1 O6'
_cell_length_a 5.7313
_cell_length_b 5.7313
_cell_length_c 6.5823
_cell_angle_alpha 97.73
_cell_angle_beta 97.73
_cell_angle_gamma 119.51
_symmetry_space_group_name_H-M 'P 1'
_symmetry_Int_Tables_number 1
loop_
_symmetry_equiv_pos_as_xyz
'x,y,z'
loop_
_atom_site_label
_atom_site_type_symbol
_atom_site_fract_x
_atom_site_fract_y
_atom_site_fract_z
_atom_site_occupancy
K1 K 0.1619 0.8381 0.0000 1
K2 K 0.8381 0.1619 0.0000 1
Y1 Y 0.3348 0.6652 0.5000 1
Y2 Y 0.6652 0.3348 0.5000 1
Ti1 Ti 0.0000 0.0000 0.5000 1
O1 O 0.0481 0.3534 0.6701 1
O2 O 0.2410 0.2410 0.3297 1
O3 O 0.3534 0.0481 0.6701 1
O4 O 0.6466 0.9519 0.3299 1
O5 O 0.7590 0.7590 0.6703 1
O6 O 0.9519 0.6466 0.3299 1
```

***

Record 2
Entry from the Alexandria database: a relaxed MgSbBr2 crystal (PBE-GGA).

Formation energy without anion corrections = -488 meV per atom
E above lowest polymorph = 275 meV/atom
ρ = 3.446 g/cm3
Raw total energy = -11.0 eV per cell

Structure (CIF):
```
data_MgSbBr2
_chemical_formula_sum 'Mg1 Sb1 Br2'
_cell_length_a 7.7381
_cell_length_b 7.7381
_cell_length_c 7.7381
_cell_angle_alpha 154.73
_cell_angle_beta 131.48
_cell_angle_gamma 55.48
_symmetry_space_group_name_H-M 'P 1'
_symmetry_Int_Tables_number 1
loop_
_symmetry_equiv_pos_as_xyz
'x,y,z'
loop_
_atom_site_label
_atom_site_type_symbol
_atom_site_fract_x
_atom_site_fract_y
_atom_site_fract_z
_atom_site_occupancy
Mg1 Mg 0.0000 0.0000 0.0000 1
Sb1 Sb 0.5000 0.5000 0.0000 1
Br1 Br 0.1394 0.6394 0.5000 1
Br2 Br 0.8606 0.3607 0.5000 1
```

***

Record 3
Entry from the Alexandria database: a relaxed MnZnI6 crystal (PBE-GGA).

Formation energy without anion corrections = -283 meV per atom
ρ = 4.432 g/cm3
Raw total energy = -22.0 eV per cell

Structure (CIF):
```
data_MnZnI6
_chemical_formula_sum 'Mn1 Zn1 I6'
_cell_length_a 7.5098
_cell_length_b 7.5098
_cell_length_c 6.8307
_cell_angle_alpha 90.61
_cell_angle_beta 90.61
_cell_angle_gamma 120.92
_symmetry_space_group_name_H-M 'P 1'
_symmetry_Int_Tables_number 1
loop_
_symmetry_equiv_pos_as_xyz
'x,y,z'
loop_
_atom_site_label
_atom_site_type_symbol
_atom_site_fract_x
_atom_site_fract_y
_atom_site_fract_z
_atom_site_occupancy
Mn1 Mn 0.0000 0.0000 0.0000 1
Zn1 Zn 0.0000 0.0000 0.5000 1
I1 I 0.0028 0.2919 0.7701 1
I2 I 0.2919 0.0028 0.7701 1
I3 I 0.2949 0.2949 0.2410 1
I4 I 0.7051 0.7051 0.7590 1
I5 I 0.7081 0.9972 0.2299 1
I6 I 0.9972 0.7081 0.2299 1
```